[1]
A relaxed Tl2CuMo crystal, computed with PBEsol.

Cell lengths 3.1276, 4.5073, 5.5673 Å; angles 90.00, 105.71, 90.00 degrees
With the nearest neighbours (Å) after each atom.
Element x y z (fractional)
Tl1 0.0000 0.0000 0.0000  3 Mo 2.90-2.92, 4 Cu 2.90, 2 Tl 3.13
Tl2 0.2920 0.5000 0.6041  3 Cu 2.77-3.06, 4 Mo 2.85
Cu1 0.5844 0.5000 0.1758  2 Mo 2.72, 6 Tl 2.77-2.90
Mo1 0.7229 0.0000 0.4591  2 Cu 2.72, 7 Tl 2.85-2.92

Values from the calculation:
Formation energy from the elements ... 0.614 eV/atom
Calculated volume ... 75.6 Å³/cell
Total moment ... 0.000 μB/cell
Total energy ... -0.3474 Ry/atom



[2]
A relaxed TlCuMo2 crystal, computed with PBEsol.

Cell lengths 2.8515, 2.8515, 7.9781 Å; angles 90.00, 90.00, 90.00 degrees
With the nearest neighbours (Å) after each atom.
Element x y z (fractional)
Tl1 0.0000 0.0000 0.0000  4 Tl 2.85, 4 Cu 2.86, 4 Mo 3.03
Cu1 0.5000 0.5000 0.2547  4 Mo 2.68, 4 Cu 2.85, 4 Tl 2.86
Mo1 0.0000 0.0000 0.4764  4 Cu 2.68, 8 Mo 2.78-2.85
Mo2 0.5000 0.5000 0.7161  8 Mo 2.78-2.85, 4 Tl 3.03

Values from the calculation:
Formation energy from the elements ... 0.589 eV/atom
Calculated volume ... 64.9 Å³/cell
Relative energy among the computed polymorphs ... 97.0 meV per atom
Total moment ... 0.001 μB/cell
Total energy ... -0.5172 Ry/atom



[3]
A relaxed CuMoW2 crystal, computed with PBEsol.

Cell lengths 2.6348, 2.6348, 8.4738 Å; angles 90.00, 90.00, 90.00 degrees
With the nearest neighbours (Å) after each atom.
Element x y z (fractional)
Cu1 0.0000 0.0000 0.0000  4 Cu 2.63, 4 W 2.69, 4 Mo 2.70
Mo1 0.5000 0.5000 0.2312  4 Mo 2.63, 4 Cu 2.70, 4 W 2.95
W1 0.0000 0.0000 0.5004  8 W 2.63-2.95, 4 Mo 2.95
W2 0.5000 0.5000 0.7703  8 W 2.63-2.95, 4 Cu 2.69

Values from the calculation:
Formation energy from the elements ... 0.334 eV/atom
Calculated volume ... 58.8 Å³/cell
Relative energy among the computed polymorphs ... 0.0 meV per atom
Total moment ... 0.000 μB/cell
Total energy ... -0.7787 Ry/atom



[4]
A relaxed CuMo2W crystal, computed with PBEsol.

Cell lengths 5.0191, 5.0191, 5.0191 Å; angles 142.31, 129.88, 64.37 degrees
With the nearest neighbours (Å) after each atom.
Element x y z (fractional)
Cu1 0.0000 0.0000 0.0000  4 W 2.67, 8 Mo 2.73-2.96
Mo1 0.2584 0.7584 0.5000  2 W 2.62, 4 Mo 2.68, 2 Cu 2.73
Mo2 0.7416 0.2416 0.5000  2 W 2.62, 4 Mo 2.68, 2 Cu 2.73
W1 0.5000 0.5000 0.0000  4 Mo 2.62, 4 Cu 2.67

Values from the calculation:
Formation energy from the elements ... 0.308 eV/atom
Calculated volume ... 58.6 Å³/cell
Relative energy among the computed polymorphs ... 80.5 meV per atom
Total moment ... 0.000 μB/cell
Total energy ... -0.7432 Ry/atom



[5]
A relaxed CuMo2W crystal, computed with PBEsol.

Cell lengths 9.4927, 9.4927, 9.4927 Å; angles 16.40, 16.40, 16.40 degrees
With the nearest neighbours (Å) after each atom.
Element x y z (fractional)
Cu1 0.0000 0.0000 0.0000  6 Cu 2.71, 6 Mo 2.73
Mo1 0.2539 0.2539 0.2539  6 Mo 2.71, 3 Cu 2.73, 3 W 2.91
Mo2 0.7461 0.7461 0.7461  6 Mo 2.71, 3 Cu 2.73, 3 W 2.91
W1 0.5000 0.5000 0.5000  6 W 2.71, 6 Mo 2.91

Values from the calculation:
Formation energy from the elements ... 0.425 eV/atom
Calculated volume ... 59.5 Å³/cell
Relative energy among the computed polymorphs ... 197.9 meV per atom
Total moment ... 0.001 μB/cell
Total energy ... -0.7346 Ry/atom



[6]
A relaxed CuMoW2 crystal, computed with PBEsol.

Cell lengths 2.5939, 4.1792, 5.4722 Å; angles 90.00, 90.00, 90.00 degrees
With the nearest neighbours (Å) after each atom.
Element x y z (fractional)
Cu1 0.0000 0.0000 0.0000  2 Cu 2.59, 2 Mo 2.74, 8 W 2.80
Mo1 0.0000 0.0000 0.5000  2 Mo 2.59, 2 Cu 2.74, 8 W 2.83
W1 0.5000 0.5000 0.2434  4 W 2.59-2.81, 4 Cu 2.80, 4 Mo 2.83
W2 0.5000 0.5000 0.7566  4 W 2.59-2.81, 4 Cu 2.80, 4 Mo 2.83

Values from the calculation:
Formation energy from the elements ... 0.383 eV/atom
Calculated volume ... 59.3 Å³/cell
Relative energy among the computed polymorphs ... 48.7 meV per atom
Total moment ... 0.000 μB/cell
Total energy ... -0.7752 Ry/atom



[7]
A relaxed CuMo2W crystal, computed with PBEsol.

Cell lengths 3.8529, 3.8529, 3.8756 Å; angles 90.00, 90.00, 90.00 degrees
With the nearest neighbours (Å) after each atom.
Element x y z (fractional)
Cu1 0.0000 0.0000 0.0000  4 W 2.72, 8 Mo 2.73
Mo1 0.0000 0.5000 0.5000  4 Mo 2.72, 4 Cu 2.73, 4 W 2.73
Mo2 0.5000 0.0000 0.5000  4 Mo 2.72, 4 Cu 2.73, 4 W 2.73
W1 0.5000 0.5000 0.0000  4 Cu 2.72, 8 Mo 2.73

Values from the calculation:
Formation energy from the elements ... 0.227 eV/atom
Calculated volume ... 57.5 Å³/cell
Relative energy among the computed polymorphs ... 0.0 meV per atom
Total moment ... 0.000 μB/cell
Total energy ... -0.7491 Ry/atom



[8]
A relaxed YCuMo2 crystal, computed with PBEsol.

Cell lengths 4.5499, 4.5499, 4.5499 Å; angles 60.00, 60.00, 60.00 degrees
With the nearest neighbours (Å) after each atom.
Element x y z (fractional)
Y1 0.0000 0.0000 0.0000  4 Mo 2.79, 4 Cu 2.79
Cu1 0.2500 0.2500 0.2500  4 Mo 2.79, 4 Y 2.79
Mo1 0.5000 0.5000 0.5000  4 Cu 2.79, 4 Mo 2.79
Mo2 0.7500 0.7500 0.7500  4 Mo 2.79, 4 Y 2.79

Values from the calculation:
Formation energy from the elements ... 0.317 eV/atom
Calculated volume ... 66.6 Å³/cell
Relative energy among the computed polymorphs ... 0.0 meV per atom
Total moment ... 0.000 μB/cell
Total energy ... -0.6141 Ry/atom



[9]
A relaxed YCuMo2 crystal, computed with PBEsol.

Cell lengths 4.6927, 4.6927, 5.0854 Å; angles 108.29, 108.29, 42.47 degrees
With the nearest neighbours (Å) after each atom.
Element x y z (fractional)
Y1 0.0000 0.0000 0.0000  3 Cu 2.86-2.94, 7 Mo 2.94-3.10
Cu1 0.2358 0.2358 0.7013  5 Mo 2.61-2.78, 2 Y 2.86
Mo1 0.4982 0.4982 0.5094  2 Mo 2.49, 3 Cu 2.61-2.78
Mo2 0.7796 0.7796 0.3270  2 Mo 2.49, 2 Cu 2.67

Values from the calculation:
Formation energy from the elements ... 0.396 eV/atom
Calculated volume ... 71.2 Å³/cell
Relative energy among the computed polymorphs ... 78.6 meV per atom
Total moment ... 0.000 μB/cell
Total energy ... -0.6084 Ry/atom



[10]
A relaxed YCu2Mo crystal, computed with PBEsol.

Cell lengths 4.5111, 4.5111, 4.5111 Å; angles 60.00, 60.00, 60.00 degrees
With the nearest neighbours (Å) after each atom.
Element x y z (fractional)
Y1 0.0000 0.0000 0.0000  8 Cu 2.76
Cu1 0.2500 0.2500 0.2500  4 Mo 2.76, 4 Y 2.76
Cu2 0.7500 0.7500 0.7500  4 Mo 2.76, 4 Y 2.76
Mo1 0.5000 0.5000 0.5000  8 Cu 2.76

Values from the calculation:
Formation energy from the elements ... 0.320 eV/atom
Calculated volume ... 64.9 Å³/cell
Relative energy among the computed polymorphs ... 84.9 meV per atom
Total moment ... 0.002 μB/cell
Total energy ... -0.4774 Ry/atom



[11]
A relaxed YCu2Mo crystal, computed with PBEsol.

Cell lengths 3.2339, 3.2339, 6.2271 Å; angles 90.00, 90.00, 90.00 degrees
With the nearest neighbours (Å) after each atom.
Element x y z (fractional)
Y1 0.0000 0.0000 0.0000  8 Cu 2.94, 2 Mo 3.11, 4 Y 3.23
Cu1 0.5000 0.5000 0.2957  1 Cu 2.54, 4 Mo 2.62
Cu2 0.5000 0.5000 0.7043  1 Cu 2.54, 4 Mo 2.62
Mo1 0.0000 0.0000 0.5000  8 Cu 2.62

Values from the calculation:
Formation energy from the elements ... 0.235 eV/atom
Calculated volume ... 65.1 Å³/cell
Relative energy among the computed polymorphs ... 0.0 meV per atom
Total moment ... 0.000 μB/cell
Total energy ... -0.4836 Ry/atom



[12]
A relaxed Zn2CuMo crystal, computed with PBEsol.

Cell lengths 5.2585, 5.2585, 5.2585 Å; angles 151.19, 128.78, 59.83 degrees
With the nearest neighbours (Å) after each atom.
Element x y z (fractional)
Zn1 0.0000 0.0000 0.0000  2 Cu 2.49, 4 Zn 2.60-2.62, 4 Mo 2.62
Zn2 0.7537 0.2537 0.5000  4 Zn 2.60-2.62, 4 Cu 2.63, 2 Mo 2.74
Cu1 0.2329 0.7329 0.5000  6 Zn 2.49-2.63, 2 Cu 2.62, 2 Mo 2.68
Mo1 0.4899 0.4899 0.0000  2 Mo 2.62, 6 Zn 2.62-2.74, 2 Cu 2.68

Values from the calculation:
Formation energy from the elements ... 0.178 eV/atom
Calculated volume ... 54.2 Å³/cell
Relative energy among the computed polymorphs ... 177.0 meV per atom
Total moment ... 0.000 μB/cell
Total energy ... -0.3409 Ry/atom



Number 1: Fermi-level density of states 0.596 states/eV/atom. Number 2: Fermi-level density of states 1.260 states/eV/atom. Number 3: Fermi-level density of states 0.616 states/eV/atom. Number 4: Fermi-level density of states 0.815 states/eV/atom. Number 5: Fermi-level density of states 0.896 states/eV/atom. Number 6: Fermi-level density of states 0.697 states/eV/atom. Number 7: Fermi-level density of states 0.505 states/eV/atom. Number 8: Fermi-level density of states 0.781 states/eV/atom. Number 9: Fermi-level density of states 0.669 states/eV/atom. Number 10: Fermi-level density of states 1.205 states/eV/atom. Number 11: Fermi-level density of states 0.739 states/eV/atom. Number 12: Fermi-level density of states 0.581 states/eV/atom.